#i
A plane-wave DFT calculation with GGA+U was carried out for Rb2Nd2MgW4O16 after structural relaxation.

Results
Volume, Å³ per atom: 14.136
SG: C2 (5)
Density of states at the Fermi level, states/eV/f.u.: 0.000

Unit cell a=7.898 b=7.898 c=7.580 alpha=116.95 beta=116.95 gamma=93.71
Positions (direct):
Rb 0.000 0.000 0.000
Rb 0.524 0.476 0.500
Nd 0.491 0.509 0.000
Nd 0.977 0.023 0.500
Mg 0.749 0.251 0.000
W 0.028 0.563 0.540
W 0.048 0.540 0.035
W 0.437 0.972 0.460
W 0.460 0.952 0.965
O 0.060 0.456 0.258
O 0.117 0.831 0.279
O 0.130 0.331 0.880
O 0.169 0.883 0.721
O 0.317 0.623 0.751
O 0.366 0.190 0.619
O 0.377 0.683 0.249
O 0.387 0.017 0.215
O 0.534 0.236 0.075
O 0.544 0.940 0.742
O 0.669 0.870 0.120
O 0.714 0.061 0.590
O 0.764 0.466 0.925
O 0.810 0.634 0.381
O 0.939 0.286 0.410
O 0.983 0.613 0.785

***

#ii
A plane-wave DFT calculation with GGA+U was carried out for Rb2Nd2MgW4O16 after structural relaxation.

Results
Volume, Å³ per atom: 14.832
SG: P1 (1)
Density of states at the Fermi level, states/eV/f.u.: 0.000

Unit cell a=7.541 b=7.590 c=8.389 alpha=87.66 beta=64.30 gamma=61.28
Positions (direct):
Rb 0.000 0.000 0.000
Rb 0.493 0.412 0.591
Nd 0.536 0.942 0.954
Nd 0.953 0.463 0.634
Mg 0.300 0.279 0.266
W 0.053 0.891 0.478
W 0.452 0.537 0.110
W 0.556 0.893 0.468
W 0.952 0.518 0.117
O 0.031 0.468 0.875
O 0.151 0.246 0.131
O 0.176 0.589 0.069
O 0.221 0.557 0.372
O 0.274 0.845 0.209
O 0.321 0.814 0.510
O 0.334 0.176 0.468
O 0.462 0.955 0.713
O 0.557 0.236 0.037
O 0.597 0.602 0.874
O 0.701 0.813 0.180
O 0.702 0.451 0.160
O 0.811 0.584 0.398
O 0.818 0.950 0.412
O 0.905 0.815 0.695
O 0.933 0.164 0.561

***

#iii
A plane-wave DFT calculation with GGA+U was carried out for Rb2Nd2MgW4O16 after structural relaxation.

Results
Volume, Å³ per atom: 14.528
SG: P1 (1)
Density of states at the Fermi level, states/eV/f.u.: 0.000

Unit cell a=7.577 b=7.588 c=8.247 alpha=87.41 beta=62.99 gamma=61.71
Positions (direct):
Rb 0.000 0.000 0.000
Rb 0.394 0.492 0.743
Nd 0.474 0.983 0.067
Nd 0.941 0.485 0.668
Mg 0.827 0.241 0.383
W 0.025 0.916 0.555
W 0.408 0.536 0.186
W 0.519 0.941 0.540
W 0.905 0.544 0.185
O 0.095 0.253 0.191
O 0.157 0.606 0.136
O 0.191 0.593 0.456
O 0.245 0.859 0.282
O 0.287 0.868 0.598
O 0.322 0.209 0.554
O 0.462 0.950 0.784
O 0.525 0.262 0.109
O 0.574 0.599 0.966
O 0.656 0.455 0.262
O 0.656 0.856 0.258
O 0.767 0.624 0.471
O 0.772 0.008 0.473
O 0.857 0.866 0.781
O 0.898 0.218 0.594
O 0.984 0.505 0.938

***

Which of them is most stable, and which least? Most stable: #iii; least stable: #ii.